VASP calculation (PBE) on a relaxed structure of ZnTe3O.

Mass density: 5.55 g/cm3
D(E_F): 1.731 states/eV/atom
Total DFT energy (no corrections): -2.19 eV/atom
Excess energy over the best structure of this formula in the dataset: 709 meV/atom

Structure (CIF):
```
data_ZnTe3O
_chemical_formula_sum 'Zn1 Te3 O1'
_cell_length_a 5.177
_cell_length_b 5.177
_cell_length_c 5.177
_cell_angle_alpha 90.00
_cell_angle_beta 90.00
_cell_angle_gamma 90.00
_space_group_name_H-M_alt 'P m -3 m'
_space_group_IT_number 221
_space_group_name_Hall '-P 4 2 3'
loop_
_atom_site_label
_atom_site_type_symbol
_atom_site_fract_x
_atom_site_fract_y
_atom_site_fract_z
Zn1 Zn 0.000 0.000 0.000
Te1 Te 0.000 0.000 0.500
O1 O 0.500 0.500 0.500
```